1.
The following is a DFT calculation (PBE) of a geometry-optimized CaHfO2F structure.

It has space group P4/mmm (No. 123), with a = 4.310 Å, b = 4.310 Å, c = 3.991 Å, α = 90.00°, β = 90.00° and γ = 90.00°. The distinct sites, in fractional coordinates, are Ca at (0.000, 0.000, 0.000), Hf at (0.500, 0.500, 0.500), O at (0.000, 0.500, 0.000) and F at (0.000, 0.000, 0.500).

The value obtained for the total energy is -31.54 eV per cell. The value obtained for the mass density is 6.04 g/cm3.

2.
The following is a DFT calculation (PBE) of a geometry-optimized CaHfO2F structure.

It has space group P4/mmm (No. 123), with a = 4.142 Å, b = 4.142 Å, c = 4.253 Å, α = 90.00°, β = 90.00° and γ = 90.00°. The distinct sites, in fractional coordinates, are Ca at (0.000, 0.000, 0.000), Hf at (0.500, 0.500, 0.500), O at (0.000, 0.500, 0.500) and F at (0.500, 0.500, 0.000).

The value obtained for the total energy is -38.05 eV per cell. The value obtained for the mass density is 6.14 g/cm3.

3.
The following is a DFT calculation (PBE) of a geometry-optimized CaHfOF2 structure.

It has space group P4/mmm (No. 123), with a = 4.473 Å, b = 4.473 Å, c = 4.066 Å, α = 90.00°, β = 90.00° and γ = 90.00°. The distinct sites, in fractional coordinates, are Ca at (0.000, 0.000, 0.000), Hf at (0.500, 0.500, 0.500), O at (0.500, 0.500, 0.000) and F at (0.000, 0.500, 0.500).

The value obtained for the total energy is -33.21 eV per cell. As for the excess energy over the best structure of this formula in the dataset: 0.0000 eV/atom. The value obtained for the mass density is 5.56 g/cm3.

4.
The following is a DFT calculation (PBE) of a geometry-optimized CaHfO2F structure.

It has space group P4/mmm (No. 123), with a = 3.955 Å, b = 3.955 Å, c = 6.762 Å, α = 90.00°, β = 90.00° and γ = 90.00°. The distinct sites, in fractional coordinates, are Ca at (0.000, 0.000, 0.000), Hf at (0.000, 0.000, 0.500), O at (0.000, 0.500, 0.500) and F at (0.500, 0.500, 0.000).

The value obtained for the total energy is -35.50 eV per cell. The value obtained for the mass density is 4.23 g/cm3.